Entry 1:
This record from Alexandria via LeMat-Bulk describes a geometry-optimized PmErCd structure. The functional is PBE-GGA.

Values from the calculation:
Its energy above the most stable polymorph in this dataset is 0.36 eV/f.u. The calculation puts the formation energy at -0.075 eV per atom.

```
data_PmErCd
_space_group_name_H-M_alt 'P 3 m 1'
_space_group_IT_number 156
_cell_length_a 5.2714
_cell_length_b 5.2714
_cell_length_c 3.6314
_cell_angle_alpha 90.00
_cell_angle_beta 90.00
_cell_angle_gamma 120.00
loop_
_space_group_symop_operation_xyz
'x,y,z'
'-y,x-y,z'
'-x+y,-x,z'
'-y,-x,z'
'-x+y,y,z'
'x,x-y,z'
loop_
_atom_site_label
_atom_site_type_symbol
_atom_site_fract_x
_atom_site_fract_y
_atom_site_fract_z
_atom_site_occupancy
Pm1 Pm 0.0000 0.0000 0.0000 1
Er1 Er 0.6667 0.3333 0.5530 1
Cd1 Cd 0.3333 0.6667 0.3492 1
```

***

Entry 2:
This record from Alexandria via LeMat-Bulk describes a geometry-optimized Al2Os3 structure. The functional is PBE-GGA.

Values from the calculation:
Its energy above the most stable polymorph in this dataset is 0.00 eV/f.u. The calculation puts the formation energy at -0.114 eV per atom.

```
data_Al2Os3
_space_group_name_H-M_alt 'R -3 m'
_space_group_IT_number 166
_space_group_name_Hall '-R 3 2"'
_cell_length_a 2.8153
_cell_length_b 2.8153
_cell_length_c 31.2984
_cell_angle_alpha 90.00
_cell_angle_beta 90.00
_cell_angle_gamma 120.00
loop_
_atom_site_label
_atom_site_type_symbol
_atom_site_fract_x
_atom_site_fract_y
_atom_site_fract_z
_atom_site_occupancy
Al1 Al 0.0000 0.0000 0.1003 1
Os1 Os 0.0000 0.0000 0.2998 1
Os2 Os 0.0000 0.0000 0.5000 1
```

***

Entry 3:
This record from Alexandria via LeMat-Bulk describes a geometry-optimized AcGaPb structure. The functional is PBE-GGA.

Values from the calculation:
Its energy above the most stable polymorph in this dataset is 0.66 eV/f.u. The calculation puts the formation energy at -0.291 eV per atom.

```
data_AcGaPb
_space_group_name_H-M_alt 'I 4 m m'
_space_group_IT_number 107
_space_group_name_Hall 'I 4 -2'
_cell_length_a 3.852
_cell_length_b 3.852
_cell_length_c 12.102
_cell_angle_alpha 90.00
_cell_angle_beta 90.00
_cell_angle_gamma 90.00
loop_
_atom_site_label
_atom_site_type_symbol
_atom_site_fract_x
_atom_site_fract_y
_atom_site_fract_z
_atom_site_occupancy
Ac1 Ac 0.000 0.000 0.000 1
Ga1 Ga 0.000 0.000 0.326 1
Pb1 Pb 0.000 0.000 0.705 1
```

***

Entry 4:
This record from Alexandria via LeMat-Bulk describes a geometry-optimized Sr2SbH structure. The functional is PBE-GGA.

Values from the calculation:
Its energy above the most stable polymorph in this dataset is 1.05 eV/f.u.

```
data_Sr2SbH
_space_group_name_H-M_alt 'P 4/m m m'
_space_group_IT_number 123
_space_group_name_Hall '-P 4 2'
_cell_length_a 5.454
_cell_length_b 5.454
_cell_length_c 3.974
_cell_angle_alpha 90.00
_cell_angle_beta 90.00
_cell_angle_gamma 90.00
loop_
_atom_site_label
_atom_site_type_symbol
_atom_site_fract_x
_atom_site_fract_y
_atom_site_fract_z
_atom_site_occupancy
Sr1 Sr 0.000 0.500 0.000 1
Sb1 Sb 0.000 0.000 0.500 1
H1 H 0.500 0.500 0.500 1
```

***

Entry 5:
This record from Alexandria via LeMat-Bulk describes a geometry-optimized TlAgGe2F structure. The functional is PBE-GGA.

Values from the calculation:
The uncorrected formation energy comes out at 0.03 eV/atom.

```
data_TlAgGe2F
_space_group_name_H-M_alt 'P 4/m m m'
_space_group_IT_number 123
_space_group_name_Hall '-P 4 2'
_cell_length_a 5.049
_cell_length_b 5.049
_cell_length_c 4.562
_cell_angle_alpha 90.00
_cell_angle_beta 90.00
_cell_angle_gamma 90.00
loop_
_atom_site_label
_atom_site_type_symbol
_atom_site_fract_x
_atom_site_fract_y
_atom_site_fract_z
_atom_site_occupancy
Tl1 Tl 0.000 0.000 0.000 1
Ag1 Ag 0.500 0.500 0.500 1
Ge1 Ge 0.000 0.500 0.500 1
F1 F 0.500 0.500 0.000 1
```

***

Entry 6:
This record from Alexandria via LeMat-Bulk describes a geometry-optimized KCd2Tc structure. The functional is PBE-GGA.

Values from the calculation:
Its energy above the most stable polymorph in this dataset is 0.60 eV/f.u. The calculation puts the formation energy at 0.647 eV per atom.

```
data_KCd2Tc
_space_group_name_H-M_alt 'P 4 m m'
_space_group_IT_number 99
_cell_length_a 2.894
_cell_length_b 2.894
_cell_length_c 10.589
_cell_angle_alpha 90.00
_cell_angle_beta 90.00
_cell_angle_gamma 90.00
loop_
_space_group_symop_operation_xyz
'x,y,z'
'-y,x,z'
'-x,-y,z'
'y,-x,z'
'-x,y,z'
'y,x,z'
'x,-y,z'
'-y,-x,z'
loop_
_atom_site_label
_atom_site_type_symbol
_atom_site_fract_x
_atom_site_fract_y
_atom_site_fract_z
_atom_site_occupancy
K1 K 0.000 0.000 0.000 1
Cd1 Cd 0.000 0.000 0.465 1
Cd2 Cd 0.500 0.500 0.711 1
Tc1 Tc 0.500 0.500 0.265 1
```

***

Entry 7:
This record from Alexandria via LeMat-Bulk describes a geometry-optimized CrC3Cl structure. The functional is PBE-GGA.

Values from the calculation:
The uncorrected formation energy comes out at 2.07 eV/atom. Its energy above the most stable polymorph in this dataset is 0.00 eV/f.u.

```
data_CrC3Cl
_space_group_name_H-M_alt 'P m -3 m'
_space_group_IT_number 221
_space_group_name_Hall '-P 4 2 3'
_cell_length_a 3.921
_cell_length_b 3.921
_cell_length_c 3.921
_cell_angle_alpha 90.00
_cell_angle_beta 90.00
_cell_angle_gamma 90.00
loop_
_atom_site_label
_atom_site_type_symbol
_atom_site_fract_x
_atom_site_fract_y
_atom_site_fract_z
_atom_site_occupancy
Cr1 Cr 0.000 0.000 0.000 1
C1 C 0.000 0.000 0.500 1
Cl1 Cl 0.500 0.500 0.500 1
```

***

Entry 8:
This record from Alexandria via LeMat-Bulk describes a geometry-optimized BaNaAl2Br structure. The functional is PBE-GGA.

Values from the calculation:
The uncorrected formation energy comes out at 0.36 eV/atom.

```
data_BaNaAl2Br
_space_group_name_H-M_alt 'P 4/m m m'
_space_group_IT_number 123
_space_group_name_Hall '-P 4 2'
_cell_length_a 6.581
_cell_length_b 6.581
_cell_length_c 6.149
_cell_angle_alpha 90.00
_cell_angle_beta 90.00
_cell_angle_gamma 90.00
loop_
_atom_site_label
_atom_site_type_symbol
_atom_site_fract_x
_atom_site_fract_y
_atom_site_fract_z
_atom_site_occupancy
Ba1 Ba 0.000 0.000 0.000 1
Na1 Na 0.500 0.500 0.500 1
Al1 Al 0.000 0.500 0.000 1
Br1 Br 0.000 0.000 0.500 1
```

***

Entry 9:
This record from Alexandria via LeMat-Bulk describes a geometry-optimized Y2TaH structure. The functional is PBE-GGA.

Values from the calculation:
Its energy above the most stable polymorph in this dataset is 1.88 eV/f.u.

```
data_Y2TaH
_space_group_name_H-M_alt 'F m -3 m'
_space_group_IT_number 225
_space_group_name_Hall '-F 4 2 3'
_cell_length_a 7.073
_cell_length_b 7.073
_cell_length_c 7.073
_cell_angle_alpha 90.00
_cell_angle_beta 90.00
_cell_angle_gamma 90.00
loop_
_atom_site_label
_atom_site_type_symbol
_atom_site_fract_x
_atom_site_fract_y
_atom_site_fract_z
_atom_site_occupancy
Y1 Y 0.250 0.250 0.250 1
Ta1 Ta 0.000 0.000 0.000 1
H1 H 0.000 0.000 0.500 1
```

***

Entry 10:
This record from Alexandria via LeMat-Bulk describes a geometry-optimized Tm2MgSi2Rh5 structure. The functional is PBE-GGA.

Values from the calculation:
The uncorrected formation energy comes out at -0.97 eV/atom.

```
data_Tm2MgSi2Rh5
_space_group_name_H-M_alt 'P 4/m b m'
_space_group_IT_number 127
_space_group_name_Hall '-P 4 2ab'
_cell_length_a 9.816
_cell_length_b 9.816
_cell_length_c 3.408
_cell_angle_alpha 90.00
_cell_angle_beta 90.00
_cell_angle_gamma 90.00
loop_
_atom_site_label
_atom_site_type_symbol
_atom_site_fract_x
_atom_site_fract_y
_atom_site_fract_z
_atom_site_occupancy
Tm1 Tm 0.174 0.326 0.000 1
Mg1 Mg 0.000 0.000 0.000 1
Si1 Si 0.126 0.626 0.000 1
Rh1 Rh 0.000 0.500 0.500 1
Rh2 Rh 0.069 0.785 0.500 1
```

***

Entry 11:
This record from Alexandria via LeMat-Bulk describes a geometry-optimized AuCl2 structure. The functional is PBE-GGA.

Values from the calculation:
The uncorrected formation energy comes out at -0.04 eV/atom.

```
data_AuCl2
_space_group_name_H-M_alt 'P a -3'
_space_group_IT_number 205
_space_group_name_Hall '-P 2ac 2ab 3'
_cell_length_a 6.446
_cell_length_b 6.446
_cell_length_c 6.446
_cell_angle_alpha 90.00
_cell_angle_beta 90.00
_cell_angle_gamma 90.00
loop_
_atom_site_label
_atom_site_type_symbol
_atom_site_fract_x
_atom_site_fract_y
_atom_site_fract_z
_atom_site_occupancy
Au1 Au 0.000 0.000 0.000 1
Cl1 Cl 0.156 0.656 0.844 1
```

***

Entry 12:
This record from Alexandria via LeMat-Bulk describes a geometry-optimized Sc4Al structure. The functional is PBE-GGA.

Values from the calculation:
Its energy above the most stable polymorph in this dataset is 0.00 eV/f.u. The calculation puts the formation energy at -0.135 eV per atom.

```
data_Sc4Al
_space_group_name_H-M_alt 'I 4/m'
_space_group_IT_number 87
_space_group_name_Hall '-I 4'
_cell_length_a 7.056
_cell_length_b 7.056
_cell_length_c 4.461
_cell_angle_alpha 90.00
_cell_angle_beta 90.00
_cell_angle_gamma 90.00
loop_
_atom_site_label
_atom_site_type_symbol
_atom_site_fract_x
_atom_site_fract_y
_atom_site_fract_z
_atom_site_occupancy
Sc1 Sc 0.108 0.300 0.000 1
Al1 Al 0.000 0.000 0.500 1
```